Entry from Alexandria via LeMat-Bulk: a relaxed CdIn2Hg crystal (GGA-PBE).

a = 7.4319 Å, b = 7.4319 Å, c = 7.4319 Å
α = 33.82°, β = 33.82°, γ = 33.82°
Element x y z (fractional)
Cd1 0.0000 0.0000 0.0000
In1 0.5827 0.5827 0.5827
In2 0.7536 0.7536 0.7536
Hg1 0.1684 0.1684 0.1684

Properties
N(E_F): 1.30 states/eV/cell
Distance to the lowest polymorph of the same formula: 70.1 meV per atom
Space-group type: R3m (160)
Electronic total energy: -1.60 eV/atom


Entry from Alexandria via LeMat-Bulk: a relaxed Cd3In8Hg2 crystal (GGA-PBE).

a = 8.5881 Å, b = 8.5881 Å, c = 6.5624 Å
α = 96.52°, β = 96.52°, γ = 52.19°
Element x y z (fractional)
Cd1 0.0000 0.0000 0.0000
Cd2 0.1842 0.8158 0.5000
Cd3 0.8158 0.1842 0.5000
In1 0.0989 0.6124 0.0875
In2 0.1713 0.1713 0.3397
In3 0.3884 0.3884 0.4393
In4 0.3876 0.9011 0.9125
In5 0.6124 0.0989 0.0875
In6 0.6116 0.6116 0.5607
In7 0.8287 0.8287 0.6603
In8 0.9011 0.3876 0.9125
Hg1 0.2807 0.2807 0.7637
Hg2 0.7193 0.7193 0.2363

Properties
N(E_F): 4.04 states/eV/cell
Distance to the lowest polymorph of the same formula: 37.9 meV per atom
Space-group type: C2/m (12)
Electronic total energy: -1.85 eV/atom


Entry from Alexandria via LeMat-Bulk: a relaxed Cd15In2Hg2 crystal (GGA-PBE).

a = 7.8161 Å, b = 7.8161 Å, c = 7.8161 Å
α = 83.35°, β = 83.35°, γ = 83.35°
Element x y z (fractional)
Cd1 0.0000 0.0000 0.5000
Cd2 0.0000 0.2966 0.7034
Cd3 0.0000 0.5000 0.0000
Cd4 0.0000 0.7034 0.2966
Cd5 0.1605 0.6344 0.6344
Cd6 0.2966 0.0000 0.7034
Cd7 0.2966 0.7034 0.0000
Cd8 0.3656 0.3656 0.8395
Cd9 0.3656 0.8395 0.3656
Cd10 0.5000 0.0000 0.0000
Cd11 0.6344 0.1605 0.6344
Cd12 0.6344 0.6344 0.1605
Cd13 0.7034 0.0000 0.2966
Cd14 0.7034 0.2966 0.0000
Cd15 0.8395 0.3656 0.3656
In1 0.3459 0.3459 0.3459
In2 0.6541 0.6541 0.6541
Hg1 0.1181 0.1181 0.1181
Hg2 0.8819 0.8819 0.8819

Properties
N(E_F): 6.81 states/eV/cell
Space-group type: R-3m (166)
Electronic total energy: -0.99 eV/atom


Entry from Alexandria via LeMat-Bulk: a relaxed CdIn2Hg crystal (GGA-PBE).

a = 4.5874 Å, b = 4.7295 Å, c = 4.7351 Å
α = 90.00°, β = 90.00°, γ = 90.00°
Element x y z (fractional)
Cd1 0.0000 0.0000 0.0000
In1 0.0000 0.5000 0.5000
In2 0.5000 0.0000 0.5000
Hg1 0.5000 0.5000 0.0000

Properties
N(E_F): 1.36 states/eV/cell
Distance to the lowest polymorph of the same formula: 9.9 meV per atom
Space-group type: Pmmm (47)
Electronic total energy: -1.66 eV/atom


Entry from Alexandria via LeMat-Bulk: a relaxed Cd7InHg3 crystal (GGA-PBE).

a = 7.6376 Å, b = 7.6376 Å, c = 5.7350 Å
α = 110.65°, β = 110.65°, γ = 95.43°
Element x y z (fractional)
Cd1 0.0000 0.0000 0.0000
Cd2 0.0894 0.5722 0.3311
Cd3 0.3284 0.3284 0.8887
Cd4 0.4278 0.9106 0.6689
Cd5 0.5722 0.0894 0.3311
Cd6 0.6716 0.6716 0.1113
Cd7 0.9106 0.4278 0.6689
In1 0.0000 0.0000 0.5000
Hg1 0.2600 0.7400 0.0000
Hg2 0.5000 0.5000 0.5000
Hg3 0.7400 0.2600 0.0000

Properties
N(E_F): 4.53 states/eV/cell
Distance to the lowest polymorph of the same formula: 0.0 meV per atom
Space-group type: C2/m (12)
Electronic total energy: -0.84 eV/atom


Entry from Alexandria via LeMat-Bulk: a relaxed CdIn2Hg4 crystal (GGA-PBE).

a = 8.6842 Å, b = 10.1169 Å, c = 4.3730 Å
α = 90.00°, β = 90.00°, γ = 90.00°
Element x y z (fractional)
Cd1 0.0000 0.0000 0.0000
Cd2 0.5000 0.5000 0.0000
In1 0.0056 0.2816 0.5000
In2 0.4944 0.7816 0.5000
In3 0.5056 0.2184 0.5000
In4 0.9944 0.7184 0.5000
Hg1 0.2435 0.7509 0.0000
Hg2 0.2487 0.5029 0.5000
Hg3 0.2513 0.0029 0.5000
Hg4 0.2565 0.2509 0.0000
Hg5 0.7435 0.7491 0.0000
Hg6 0.7487 0.9971 0.5000
Hg7 0.7513 0.4971 0.5000
Hg8 0.7565 0.2491 0.0000

Properties
N(E_F): 4.77 states/eV/cell
Distance to the lowest polymorph of the same formula: 0.0 meV per atom
Space-group type: Pbam (55)
Electronic total energy: -1.05 eV/atom


Entry from Alexandria via LeMat-Bulk: a relaxed Cd7In16Hg6 crystal (GGA-PBE).

a = 10.3826 Å, b = 10.3826 Å, c = 10.3826 Å
α = 60.00°, β = 60.00°, γ = 60.00°
Element x y z (fractional)
Cd1 0.0000 0.0000 0.0000
Cd2 0.0000 0.0000 0.5000
Cd3 0.0000 0.5000 0.0000
Cd4 0.0000 0.5000 0.5000
Cd5 0.5000 0.0000 0.0000
Cd6 0.5000 0.0000 0.5000
Cd7 0.5000 0.5000 0.0000
In1 0.0461 0.6513 0.6513
In2 0.1203 0.1203 0.1203
In3 0.1203 0.1203 0.6390
In4 0.1203 0.6390 0.1203
In5 0.3487 0.3487 0.3487
In6 0.3487 0.3487 0.9539
In7 0.3487 0.9539 0.3487
In8 0.3610 0.8797 0.8797
In9 0.6390 0.1203 0.1203
In10 0.6513 0.0461 0.6513
In11 0.6513 0.6513 0.0461
In12 0.6513 0.6513 0.6513
In13 0.8797 0.3610 0.8797
In14 0.8797 0.8797 0.3610
In15 0.8797 0.8797 0.8797
In16 0.9539 0.3487 0.3487
Hg1 0.3198 0.3198 0.6802
Hg2 0.3198 0.6802 0.3198
Hg3 0.3198 0.6802 0.6802
Hg4 0.6802 0.3198 0.3198
Hg5 0.6802 0.3198 0.6802
Hg6 0.6802 0.6802 0.3198

Properties
N(E_F): 11.72 states/eV/cell
Space-group type: Fm-3m (225)
Electronic total energy: -1.74 eV/atom


Entry from Alexandria via LeMat-Bulk: a relaxed Cd3In8Hg4 crystal (GGA-PBE).

a = 5.6347 Å, b = 5.6347 Å, c = 12.7685 Å
α = 90.00°, β = 90.00°, γ = 90.00°
Element x y z (fractional)
Cd1 0.0000 0.0000 0.0000
Cd2 0.0000 0.0000 0.5000
Cd3 0.5000 0.5000 0.0000
In1 0.0000 0.0000 0.2492
In2 0.0000 0.0000 0.7508
In3 0.0000 0.5000 0.3752
In4 0.0000 0.5000 0.8717
In5 0.5000 0.0000 0.1283
In6 0.5000 0.0000 0.6248
In7 0.5000 0.5000 0.2603
In8 0.5000 0.5000 0.7397
Hg1 0.0000 0.5000 0.1179
Hg2 0.0000 0.5000 0.6118
Hg3 0.5000 0.0000 0.3882
Hg4 0.5000 0.0000 0.8821

Properties
N(E_F): 6.80 states/eV/cell
Space-group type: P-4m2 (115)
Electronic total energy: -1.68 eV/atom


Entry from Alexandria via LeMat-Bulk: a relaxed Cd5In4Hg2 crystal (GGA-PBE).

a = 16.3805 Å, b = 16.3805 Å, c = 16.3805 Å
α = 17.12°, β = 17.12°, γ = 17.12°
Element x y z (fractional)
Cd1 0.0000 0.0000 0.0000
Cd2 0.1257 0.1257 0.1257
Cd3 0.2869 0.2869 0.2869
Cd4 0.7131 0.7131 0.7131
Cd5 0.8743 0.8743 0.8743
In1 0.0671 0.0671 0.0671
In2 0.1865 0.1865 0.1865
In3 0.8135 0.8135 0.8135
In4 0.9329 0.9329 0.9329
Hg1 0.3595 0.3595 0.3595
Hg2 0.6405 0.6405 0.6405

Properties
N(E_F): 3.94 states/eV/cell
Distance to the lowest polymorph of the same formula: 95.5 meV per atom
Space-group type: R-3m (166)
Electronic total energy: -1.33 eV/atom


Entry from Alexandria via LeMat-Bulk: a relaxed Cd2In14Hg9 crystal (GGA-PBE).

a = 8.3786 Å, b = 8.3786 Å, c = 12.2064 Å
α = 90.00°, β = 90.00°, γ = 120.00°
Element x y z (fractional)
Cd1 0.3333 0.6667 0.2384
Cd2 0.6667 0.3333 0.7616
In1 0.0000 0.0000 0.2502
In2 0.0000 0.0000 0.7498
In3 0.0054 0.6753 0.4204
In4 0.0071 0.3392 0.0856
In5 0.3247 0.3301 0.4204
In6 0.3301 0.0054 0.5796
In7 0.3321 0.9929 0.0856
In8 0.3392 0.3321 0.9144
In9 0.6608 0.6679 0.0856
In10 0.6679 0.0071 0.9144
In11 0.6699 0.9946 0.4204
In12 0.6753 0.6699 0.5796
In13 0.9929 0.6608 0.9144
In14 0.9946 0.3247 0.5796
Hg1 0.0000 0.0000 0.0000
Hg2 0.0153 0.6593 0.6723
Hg3 0.3333 0.6667 0.9774
Hg4 0.3407 0.3560 0.6723
Hg5 0.3560 0.0153 0.3277
Hg6 0.6440 0.9847 0.6723
Hg7 0.6593 0.6440 0.3277
Hg8 0.6667 0.3333 0.0226
Hg9 0.9847 0.3407 0.3277

Properties
N(E_F): 11.89 states/eV/cell
Space-group type: P-3 (147)
Electronic total energy: -1.66 eV/atom


Entry from Alexandria via LeMat-Bulk: a relaxed Cd12In6Hg crystal (GGA-PBE).

a = 8.0434 Å, b = 8.0434 Å, c = 8.0434 Å
α = 101.93°, β = 101.93°, γ = 101.93°
Element x y z (fractional)
Cd1 0.0322 0.2514 0.7556
Cd2 0.1869 0.5577 0.6147
Cd3 0.2444 0.9678 0.7486
Cd4 0.2514 0.7556 0.0322
Cd5 0.3853 0.8131 0.4423
Cd6 0.4423 0.3853 0.8131
Cd7 0.5577 0.6147 0.1869
Cd8 0.6147 0.1869 0.5577
Cd9 0.7486 0.2444 0.9678
Cd10 0.7556 0.0322 0.2514
Cd11 0.8131 0.4423 0.3853
Cd12 0.9678 0.7486 0.2444
In1 0.1482 0.4331 0.2022
In2 0.2022 0.1482 0.4331
In3 0.4331 0.2022 0.1482
In4 0.5669 0.7978 0.8518
In5 0.7978 0.8518 0.5669
In6 0.8518 0.5669 0.7978
Hg1 0.0000 0.0000 0.0000

Properties
N(E_F): 7.39 states/eV/cell
Space-group type: R-3 (148)
Electronic total energy: -1.40 eV/atom


Entry from Alexandria via LeMat-Bulk: a relaxed CdIn2Hg crystal (GGA-PBE).

a = 10.8115 Å, b = 10.8115 Å, c = 10.8115 Å
α = 17.75°, β = 17.75°, γ = 17.75°
Element x y z (fractional)
Cd1 0.0000 0.0000 0.0000
In1 0.2505 0.2505 0.2505
In2 0.7495 0.7495 0.7495
Hg1 0.5000 0.5000 0.5000

Properties
N(E_F): 1.05 states/eV/cell
Distance to the lowest polymorph of the same formula: 0.0 meV per atom
Space-group type: R-3m (166)
Electronic total energy: -1.67 eV/atom


Entry from Alexandria via LeMat-Bulk: a relaxed Cd7In4Hg3 crystal (GGA-PBE).

a = 7.8303 Å, b = 7.8303 Å, c = 14.5488 Å
α = 103.49°, β = 103.49°, γ = 24.50°
Element x y z (fractional)
Cd1 0.0000 0.0000 0.0000
Cd2 0.1746 0.1746 0.9403
Cd3 0.3245 0.3245 0.4710
Cd4 0.4755 0.4755 0.1869
Cd5 0.5245 0.5245 0.8131
Cd6 0.6755 0.6755 0.5290
Cd7 0.8254 0.8254 0.0597
In1 0.1169 0.1169 0.3340
In2 0.3113 0.3113 0.2647
In3 0.6887 0.6887 0.7353
In4 0.8831 0.8831 0.6660
Hg1 0.0000 0.0000 0.5000
Hg2 0.3456 0.3456 0.8650
Hg3 0.6544 0.6544 0.1350

Properties
N(E_F): 4.67 states/eV/cell
Space-group type: C2/m (12)
Electronic total energy: -1.26 eV/atom


Entry from Alexandria via LeMat-Bulk: a relaxed Cd3In9Hg2 crystal (GGA-PBE).

a = 11.5610 Å, b = 11.5610 Å, c = 11.5610 Å
α = 163.23°, β = 119.85°, γ = 62.92°
Element x y z (fractional)
Cd1 0.0000 0.0000 0.0000
Cd2 0.2765 0.0000 0.2765
Cd3 0.7235 0.0000 0.7235
In1 0.0346 0.3884 0.6463
In2 0.1179 0.2520 0.8659
In3 0.2579 0.6116 0.6463
In4 0.3861 0.2520 0.1341
In5 0.5000 0.5000 0.0000
In6 0.6139 0.7480 0.8659
In7 0.7421 0.3884 0.3537
In8 0.8821 0.7480 0.1341
In9 0.9654 0.6116 0.3537
Hg1 0.3687 0.8687 0.5000
Hg2 0.6313 0.1313 0.5000

Properties
N(E_F): 5.28 states/eV/cell
Space-group type: Immm (71)
Electronic total energy: -1.94 eV/atom


Entry from Alexandria via LeMat-Bulk: a relaxed Cd5InHg4 crystal (GGA-PBE).

a = 8.9564 Å, b = 8.9564 Å, c = 6.2734 Å
α = 90.00°, β = 90.00°, γ = 90.00°
Element x y z (fractional)
Cd1 0.0706 0.0699 0.1976
Cd2 0.0706 0.4301 0.1976
Cd3 0.2500 0.2500 0.8855
Cd4 0.4294 0.0699 0.1976
Cd5 0.4294 0.4301 0.1976
Cd6 0.5706 0.5699 0.8024
Cd7 0.5706 0.9301 0.8024
Cd8 0.7500 0.7500 0.1145
Cd9 0.9294 0.5699 0.8024
Cd10 0.9294 0.9301 0.8024
In1 0.2500 0.7500 0.0013
In2 0.7500 0.2500 0.9987
Hg1 0.0236 0.7500 0.3921
Hg2 0.2500 0.5245 0.6097
Hg3 0.2500 0.9755 0.6097
Hg4 0.4764 0.7500 0.3921
Hg5 0.5236 0.2500 0.6079
Hg6 0.7500 0.0245 0.3903
Hg7 0.7500 0.4755 0.3903
Hg8 0.9764 0.2500 0.6079

Properties
N(E_F): 5.68 states/eV/cell
Distance to the lowest polymorph of the same formula: 10.8 meV per atom
Space-group type: Pmmn (59)
Electronic total energy: -0.82 eV/atom


Entry from Alexandria via LeMat-Bulk: a relaxed Cd5In2Hg12 crystal (GGA-PBE).

a = 8.6114 Å, b = 8.6114 Å, c = 10.4247 Å
α = 97.65°, β = 97.65°, γ = 44.33°
Element x y z (fractional)
Cd1 0.0000 0.0000 0.0000
Cd2 0.3109 0.3109 0.1255
Cd3 0.3627 0.3627 0.6204
Cd4 0.6373 0.6373 0.3796
Cd5 0.6891 0.6891 0.8745
In1 0.2495 0.7505 0.5000
In2 0.7505 0.2495 0.5000
Hg1 0.0464 0.5538 0.3729
Hg2 0.0537 0.0537 0.7513
Hg3 0.0981 0.5944 0.8860
Hg4 0.4056 0.9019 0.1140
Hg5 0.4462 0.9536 0.6271
Hg6 0.4914 0.4914 0.1674
Hg7 0.5086 0.5086 0.8326
Hg8 0.5538 0.0464 0.3729
Hg9 0.5944 0.0981 0.8860
Hg10 0.9019 0.4056 0.1140
Hg11 0.9463 0.9463 0.2487
Hg12 0.9536 0.4462 0.6271

Properties
N(E_F): 5.92 states/eV/cell
Distance to the lowest polymorph of the same formula: 20.7 meV per atom
Space-group type: C2/m (12)
Electronic total energy: -0.67 eV/atom


Entry from Alexandria via LeMat-Bulk: a relaxed CdIn2Hg9 crystal (GGA-PBE).

a = 5.4660 Å, b = 5.4660 Å, c = 10.5562 Å
α = 90.00°, β = 90.00°, γ = 90.00°
Element x y z (fractional)
Cd1 0.0000 0.0000 0.0000
In1 0.0000 0.0000 0.3271
In2 0.0000 0.0000 0.6729
Hg1 0.0000 0.5000 0.1618
Hg2 0.0000 0.5000 0.5000
Hg3 0.0000 0.5000 0.8382
Hg4 0.5000 0.0000 0.1618
Hg5 0.5000 0.0000 0.5000
Hg6 0.5000 0.0000 0.8382
Hg7 0.5000 0.5000 0.0000
Hg8 0.5000 0.5000 0.3323
Hg9 0.5000 0.5000 0.6677

Properties
N(E_F): 2.63 states/eV/cell
Distance to the lowest polymorph of the same formula: 0.0 meV per atom
Space-group type: P4/mmm (123)
Electronic total energy: -0.76 eV/atom


Entry from Alexandria via LeMat-Bulk: a relaxed Cd2InHg7 crystal (GGA-PBE).

a = 13.5987 Å, b = 13.5987 Å, c = 3.1625 Å
α = 90.00°, β = 90.00°, γ = 153.44°
Element x y z (fractional)
Cd1 0.1995 0.8005 0.0000
Cd2 0.8005 0.1995 0.0000
In1 0.5000 0.5000 0.5000
Hg1 0.0000 0.0000 0.0000
Hg2 0.1532 0.3563 0.0000
Hg3 0.2994 0.7006 0.5000
Hg4 0.3563 0.1532 0.0000
Hg5 0.6437 0.8468 0.0000
Hg6 0.7006 0.2994 0.5000
Hg7 0.8468 0.6437 0.0000

Properties
N(E_F): 2.50 states/eV/cell
Distance to the lowest polymorph of the same formula: 0.0 meV per atom
Space-group type: Cmmm (65)
Electronic total energy: -0.64 eV/atom


Number 1: V 28.3 Å³ per atom, energy of formation from the pure elements 0.08 eV per atom. Number 2: V 29.2 Å³ per atom, energy of formation from the pure elements 0.09 eV per atom. Number 3: V 24.7 Å³ per atom, energy of formation from the pure elements 0.05 eV per atom. Number 4: V 25.7 Å³ per atom, energy of formation from the pure elements 0.02 eV per atom. Number 5: V 25.8 Å³ per atom, energy of formation from the pure elements 0.07 eV per atom. Number 6: V 27.4 Å³ per atom, energy of formation from the pure elements 0.03 eV per atom. Number 7: V 27.3 Å³ per atom, energy of formation from the pure elements 0.06 eV per atom. Number 8: V 27.0 Å³ per atom, energy of formation from the pure elements 0.05 eV per atom. Number 9: V 30.2 Å³ per atom, energy of formation from the pure elements 0.13 eV per atom. Number 10: V 29.7 Å³ per atom, energy of formation from the pure elements 0.06 eV per atom. Number 11: V 25.3 Å³ per atom, energy of formation from the pure elements 0.06 eV per atom. Number 12: V 25.6 Å³ per atom, energy of formation from the pure elements 0.01 eV per atom. Number 13: V 25.7 Å³ per atom, energy of formation from the pure elements 0.04 eV per atom. Number 14: V 27.5 Å³ per atom, energy of formation from the pure elements 0.06 eV per atom. Number 15: V 25.2 Å³ per atom, energy of formation from the pure elements 0.03 eV per atom. Number 16: V 28.1 Å³ per atom, energy of formation from the pure elements 0.05 eV per atom. Number 17: V 26.3 Å³ per atom, energy of formation from the pure elements 0.00 eV per atom. Number 18: V 26.1 Å³ per atom, energy of formation from the pure elements 0.03 eV per atom.